{
  "formula": "Mn3AgSb",
  "functional": "PBE",
  "state": "optimized geometry",
  "cell": [[4.8761, 0.0000, 0.0000], [0.0000, 4.8761, 0.0000], [0.0000, 0.0000, 4.8761]],
  "species": ["Mn", "Mn", "Mn", "Ag", "Sb"],
  "fractional_positions": [[0.0000, 0.0000, 0.5000], [0.0000, 0.5000, 0.0000], [0.5000, 0.0000, 0.0000], [0.0000, 0.0000, 0.0000], [0.5000, 0.5000, 0.5000]],
  "polymorph_energy_ev_per_atom": 0.000,
  "formation_energy_uncorrected_ev_per_atom": 0.960,
  "e_tot_ev_per_cell": -29.7,
  "space_group": "Pm-3m, No. 221"
}

{
  "formula": "AcLaSm3Tm",
  "functional": "PBE",
  "state": "optimized geometry",
  "cell": [[10.3245, -2.9328, 0.0000], [10.3245, 2.9328, 0.0000], [-0.1293, 0.0000, 7.1498]],
  "species": ["Ac", "Ac", "La", "La", "Sm", "Sm", "Sm", "Sm", "Sm", "Sm", "Tm", "Tm"],
  "fractional_positions": [[0.1479, 0.1479, 0.0302], [0.8521, 0.8521, 0.9698], [0.4459, 0.4459, 0.7193], [0.5541, 0.5541, 0.2807], [0.0175, 0.0175, 0.7388], [0.2819, 0.2819, 0.7339], [0.3354, 0.3354, 0.2642], [0.6646, 0.6646, 0.7358], [0.7181, 0.7181, 0.2661], [0.9825, 0.9825, 0.2612], [0.1463, 0.1463, 0.4850], [0.8537, 0.8537, 0.5150]],
  "e_tot_ev_per_cell": -53.1,
  "space_group": "C2/m, No. 12"
}

{
  "formula": "MgCuCl6",
  "functional": "PBE",
  "state": "optimized geometry",
  "cell": [[5.3889, 0.0000, 0.0000], [0.3740, 6.4429, 0.0000], [2.2832, -0.0723, 6.4688]],
  "species": ["Mg", "Cu", "Cl", "Cl", "Cl", "Cl", "Cl", "Cl"],
  "fractional_positions": [[0.0000, 0.0000, 0.0000], [0.5000, 0.5000, 0.0000], [0.0630, 0.1008, 0.5991], [0.2566, 0.3075, 0.8521], [0.4091, 0.7812, 0.8439], [0.5909, 0.2188, 0.1561], [0.7434, 0.6925, 0.1479], [0.9370, 0.8992, 0.4009]],
  "formation_energy_uncorrected_ev_per_atom": -0.751,
  "e_tot_ev_per_cell": -22.8,
  "space_group": "P-1, No. 2"
}

{
  "formula": "TbPmTeO2",
  "functional": "PBE",
  "state": "optimized geometry",
  "cell": [[6.9161, 0.0000, 0.0000], [0.0000, 4.1386, 0.0000], [-2.2893, 0.0000, 7.5688]],
  "species": ["Tb", "Tb", "Pm", "Pm", "Te", "Te", "O", "O", "O", "O"],
  "fractional_positions": [[0.1600, 0.2500, 0.4122], [0.8400, 0.7500, 0.5878], [0.1749, 0.2500, 0.9235], [0.8251, 0.7500, 0.0765], [0.4506, 0.7500, 0.2461], [0.5494, 0.2500, 0.7539], [0.0073, 0.7500, 0.3819], [0.0172, 0.7500, 0.8741], [0.9828, 0.2500, 0.1259], [0.9927, 0.2500, 0.6181]],
  "formation_energy_uncorrected_ev_per_atom": -2.938,
  "e_tot_ev_per_cell": -74.3,
  "space_group": "P2_1/m, No. 11"
}

{
  "formula": "Er12Zn6Pb",
  "functional": "PBE",
  "state": "optimized geometry",
  "cell": [[-4.9660, 4.9660, 4.9660], [4.9660, -4.9660, 4.9660], [4.9660, 4.9660, -4.9660]],
  "species": ["Er", "Er", "Er", "Er", "Er", "Er", "Er", "Er", "Er", "Er", "Er", "Er", "Zn", "Zn", "Zn", "Zn", "Zn", "Zn", "Pb"],
  "fractional_positions": [[0.0984, 0.8071, 0.2913], [0.1929, 0.2913, 0.4842], [0.1929, 0.7087, 0.9016], [0.2913, 0.0984, 0.8071], [0.2913, 0.4842, 0.1929], [0.4842, 0.1929, 0.2913], [0.5158, 0.8071, 0.7087], [0.7087, 0.5158, 0.8071], [0.7087, 0.9016, 0.1929], [0.8071, 0.2913, 0.0984], [0.8071, 0.7087, 0.5158], [0.9016, 0.1929, 0.7087], [0.1235, 0.6235, 0.5000], [0.3765, 0.5000, 0.8765], [0.5000, 0.1235, 0.6235], [0.5000, 0.8765, 0.3765], [0.6235, 0.5000, 0.1235], [0.8765, 0.3765, 0.5000], [0.0000, 0.0000, 0.0000]],
  "e_tot_ev_per_cell": -70.1,
  "space_group": "Im-3, No. 204"
}

{
  "formula": "Sm12Zn6Ni",
  "functional": "PBE",
  "state": "optimized geometry",
  "cell": [[5.9351, 3.4267, 4.3713], [-5.9351, 3.4267, 4.3713], [0.0000, -6.8533, 4.3713]],
  "species": ["Sm", "Sm", "Sm", "Sm", "Sm", "Sm", "Sm", "Sm", "Sm", "Sm", "Sm", "Sm", "Zn", "Zn", "Zn", "Zn", "Zn", "Zn", "Ni"],
  "fractional_positions": [[0.0447, 0.6969, 0.9296], [0.0704, 0.9553, 0.3031], [0.1814, 0.5333, 0.4098], [0.3031, 0.0704, 0.9553], [0.4098, 0.1814, 0.5333], [0.4667, 0.5902, 0.8186], [0.5333, 0.4098, 0.1814], [0.5902, 0.8186, 0.4667], [0.6969, 0.9296, 0.0447], [0.8186, 0.4667, 0.5902], [0.9296, 0.0447, 0.6969], [0.9553, 0.3031, 0.0704], [0.1556, 0.3553, 0.7595], [0.2404, 0.8444, 0.6447], [0.3553, 0.7595, 0.1556], [0.6447, 0.2404, 0.8444], [0.7595, 0.1556, 0.3553], [0.8444, 0.6447, 0.2404], [0.5000, 0.5000, 0.5000]],
  "e_tot_ev_per_cell": -72.0,
  "space_group": "R-3, No. 148"
}